# Cs2MoPbO6 GGA+U relaxed
# Crystal system   trigonal
# Total moment   0.000 μB/cell
# Total energy   -5.499 eV/atom
data_Cs2MoPbO6
_cell_length_a 6.716
_cell_length_b 6.716
_cell_length_c 5.651
_cell_angle_alpha 90.00
_cell_angle_beta 90.00
_cell_angle_gamma 120.00
_space_group_name_H-M_alt 'P 1'
_space_group_IT_number 1
_space_group_name_Hall 'P 1'
loop_
_atom_site_label
_atom_site_fract_x
_atom_site_fract_y
_atom_site_fract_z
Cs1 0.333 0.667 0.175
Cs2 0.667 0.333 0.825
Mo1 0.000 0.000 0.000
Pb1 0.000 0.000 0.500
O1 0.134 0.268 0.785
O2 0.134 0.866 0.785
O3 0.268 0.134 0.215
O4 0.732 0.866 0.785
O5 0.866 0.134 0.215
O6 0.866 0.732 0.215